Record 1
A plane-wave DFT calculation with PBE was carried out for a relaxed SrBi crystal.

Cell lengths 13.8916, 11.2786, 7.9053 Å; angles 90.00, 90.00, 90.00 degrees
Closest atoms and distances in Å follow each position.
Element x y z (fractional)
Bi 0.2500 0.7500 0.9519  1 Bi 3.19, 6 Sr 3.45-3.50
Bi 0.7500 0.7500 0.4519  1 Bi 3.19, 6 Sr 3.45-3.50
Bi 0.5000 0.5000 0.2981  1 Bi 3.19, 6 Sr 3.45-3.50
Bi 0.5000 0.0000 0.2019  1 Bi 3.19, 6 Sr 3.45-3.50
Bi 0.7500 0.2500 0.5481  1 Bi 3.19, 6 Sr 3.45-3.50
Bi 0.0000 0.5000 0.2019  1 Bi 3.19, 6 Sr 3.45-3.50
Bi 0.2500 0.2500 0.0481  1 Bi 3.19, 6 Sr 3.45-3.50
Bi 0.5000 0.0000 0.7981  1 Bi 3.19, 6 Sr 3.45-3.50
Bi 0.5000 0.5000 0.7019  1 Bi 3.19, 6 Sr 3.45-3.50
Bi 0.0000 0.5000 0.7981  1 Bi 3.19, 6 Sr 3.45-3.50
Bi 0.7500 0.2500 0.9519  1 Bi 3.19, 6 Sr 3.45-3.50
Bi 0.0000 0.0000 0.7019  1 Bi 3.19, 6 Sr 3.45-3.50
Bi 0.2500 0.7500 0.5481  1 Bi 3.19, 6 Sr 3.45-3.50
Bi 0.0000 0.0000 0.2981  1 Bi 3.19, 6 Sr 3.45-3.50
Bi 0.2500 0.2500 0.4519  1 Bi 3.19, 6 Sr 3.45-3.50
Bi 0.7500 0.7500 0.0481  1 Bi 3.19, 6 Sr 3.45-3.50
Sr 0.7500 0.5215 0.7500  6 Bi 3.45-3.50
Sr 0.7500 0.9785 0.7500  6 Bi 3.45-3.50
Sr 0.0000 0.2285 0.0000  6 Bi 3.45-3.50
Sr 0.0000 0.7285 0.5000  6 Bi 3.45-3.50
Sr 0.5000 0.2715 0.0000  6 Bi 3.45-3.50
Sr 0.2500 0.4785 0.7500  6 Bi 3.45-3.50
Sr 0.2500 0.5215 0.2500  6 Bi 3.45-3.50
Sr 0.5000 0.2285 0.5000  6 Bi 3.45-3.50
Sr 0.7500 0.0215 0.2500  6 Bi 3.45-3.50
Sr 0.7500 0.4785 0.2500  6 Bi 3.45-3.50
Sr 0.2500 0.0215 0.7500  6 Bi 3.45-3.50
Sr 0.5000 0.7285 0.0000  6 Bi 3.45-3.50
Sr 0.0000 0.7715 0.0000  6 Bi 3.45-3.50
Sr 0.2500 0.9785 0.2500  6 Bi 3.45-3.50
Sr 0.0000 0.2715 0.5000  6 Bi 3.45-3.50
Sr 0.5000 0.7715 0.5000  6 Bi 3.45-3.50

Results
V = 1239 Å³/cell
ΔH_f (0 K) = -724 meV/atom



Record 2
A plane-wave DFT calculation with PBE was carried out for a relaxed HfPa2Si2Ru5 crystal.

Cell lengths 3.4109, 9.9870, 9.9870 Å; angles 90.00, 90.00, 90.00 degrees
Closest atoms and distances in Å follow each position.
Element x y z (fractional)
Pa 0.0000 0.1748 0.3252  3 Si 2.86-3.01, 10 Ru 3.00-3.18
Pa 0.0000 0.8252 0.6748  3 Si 2.86-3.01, 10 Ru 3.00-3.18
Pa 0.0000 0.6748 0.1748  3 Si 2.86-3.01, 10 Ru 3.00-3.18
Pa 0.0000 0.3252 0.8252  3 Si 2.86-3.01, 10 Ru 3.00-3.18
Ru 0.5000 0.5702 0.7149  2 Si 2.41
Ru 0.5000 0.9298 0.2149  2 Si 2.41
Ru 0.5000 0.7149 0.4298  2 Si 2.41
Ru 0.5000 0.7851 0.9298  2 Si 2.41
Ru 0.5000 0.2149 0.0702  2 Si 2.41
Ru 0.5000 0.0702 0.7851  2 Si 2.41
Ru 0.5000 0.2851 0.5702  2 Si 2.41
Ru 0.5000 0.5000 0.0000  4 Si 2.43
Ru 0.5000 0.0000 0.5000  4 Si 2.43
Ru 0.5000 0.4298 0.2851  2 Si 2.41
Si 0.0000 0.8776 0.3776  6 Ru 2.41-2.43
Si 0.0000 0.6224 0.8776  6 Ru 2.41-2.43
Si 0.0000 0.1224 0.6224  6 Ru 2.41-2.43
Si 0.0000 0.3776 0.1224  6 Ru 2.41-2.43
Hf 0.0000 0.0000 0.0000  8 Ru 2.83
Hf 0.0000 0.5000 0.5000  8 Ru 2.83

Results
V = 340 Å³/cell



Record 3
A plane-wave DFT calculation with PBE was carried out for a relaxed Si2AgTe crystal.

Cell lengths 6.9774, 6.9774, 6.9774 Å; angles 31.75, 31.75, 31.75 degrees
Closest atoms and distances in Å follow each position.
Element x y z (fractional)
Te 0.2500 0.2500 0.2500  6 Si 2.83
Ag 0.7500 0.7500 0.7500  6 Si 2.68
Si 0.4936 0.4936 0.4936  3 Ag 2.68, 3 Te 2.83
Si 0.0064 0.0064 0.0064  3 Ag 2.68, 3 Te 2.83

Results
V = 84 Å³/cell
offset from the most stable computed form = 132 meV/atom



Record 4
A plane-wave DFT calculation with PBE was carried out for a relaxed PmAuBr crystal.

Cell lengths 4.6876, 4.6876, 10.1826 Å; angles 88.53, 88.53, 60.07 degrees
Closest atoms and distances in Å follow each position.
Element x y z (fractional)
Au 0.3334 0.3334 0.4951  3 Au 2.71
Au 0.6666 0.6666 0.5049  3 Au 2.71
Pm 0.0069 0.0069 0.3330  3 Br 3.16, 6 Au 3.16-3.23, 1 Pm 3.40
Pm 0.9931 0.9931 0.6670  3 Br 3.16, 6 Au 3.16-3.23, 1 Pm 3.40
Br 0.6790 0.6790 0.1729  3 Pm 3.16, 1 Au 3.38
Br 0.3210 0.3210 0.8271  3 Pm 3.16, 1 Au 3.38

Results
V = 194 Å³/cell
offset from the most stable computed form = 28 meV/atom



Record 5
A plane-wave DFT calculation with PBE was carried out for a relaxed LiFeIr crystal.

Cell lengths 7.0582, 6.8354, 2.6342 Å; angles 83.87, 74.34, 21.78 degrees
Closest atoms and distances in Å follow each position.
Element x y z (fractional)
Li 0.6687 0.6687 0.3313  2 Ir 2.63, 6 Li 2.63-2.77, 2 Fe 2.69
Ir 0.3352 0.3352 0.6648  2 Fe 2.56, 2 Li 2.63, 6 Ir 2.63-2.77
Fe 0.9961 0.9961 0.0039  2 Ir 2.56, 6 Fe 2.63-2.77, 2 Li 2.69

Results
V = 42 Å³/cell
ΔH_f (0 K) = 91 meV/atom
offset from the most stable computed form = 129 meV/atom



Record 6
A plane-wave DFT calculation with PBE was carried out for a relaxed LiAsP2Rh crystal.

Cell lengths 4.2302, 4.2302, 4.3922 Å; angles 90.00, 90.00, 90.00 degrees
Closest atoms and distances in Å follow each position.
Element x y z (fractional)
As 0.0000 0.0000 0.5000  2 Li 2.20
P 0.0000 0.5000 0.0000  2 Li 2.12
P 0.5000 0.0000 0.0000  2 Li 2.12
Li 0.0000 0.0000 0.0000  4 P 2.12, 2 As 2.20
Rh 0.5000 0.5000 0.5000  4 As 2.99, 8 P 3.05

Results
V = 79 Å³/cell
ΔH_f (0 K) = 753 meV/atom



| no. | calculated total energy (eV for the cell shown) |
| --- | --- |
| 1 | -112.17 |
| 2 | -185.97 |
| 3 | -15.30 |
| 4 | -26.42 |
| 5 | -18.96 |
| 6 | -20.97 |